(P)
The following is a PBE calculation of a relaxed structure of NdCo2C, from Alexandria.

a b c (Å): 3.035 10.696 7.023
angles (deg): 90.00 90.00 90.00
Space group Cmcm (No. 63)
Symmetry-distinct sites (fractional):
Nd (0.000, 0.057, 0.250) x4
Co (0.000, 0.319, 0.087) x8
C (0.000, 0.200, 0.750) x4

## Properties
The calculation puts the volume at 228.0 Å³/cell.


(Q)
The following is a PBE calculation of a relaxed structure of NdCo2C, from Alexandria.

a b c (Å): 3.5440 3.5440 15.2526
angles (deg): 90.00 90.00 120.00
Space group R-3m (No. 166, hexagonal axes)
Symmetry-distinct sites (fractional):
Nd (0.0000, 0.0000, 0.0000) x3
Co (0.0000, 0.0000, 0.1984) x6
C (0.0000, 0.0000, 0.5000) x3

## Properties
The calculation puts the volume at 165.9 Å³/cell.


It is (Q) that is the least stable of them.


(P)
The following is a PBE calculation of a relaxed structure of CoNiC3, from Alexandria.

a b c (Å): 3.679 3.679 3.679
angles (deg): 90.00 90.00 90.00
Space group Pm-3m (No. 221)
Symmetry-distinct sites (fractional):
Co (0.000, 0.000, 0.000) x1
Ni (0.500, 0.500, 0.500) x1
C (0.000, 0.500, 0.500) x3

## Properties
The calculation puts the volume at 49.8 Å³/cell.


(Q)
The following is a PBE calculation of a relaxed structure of CoNiC3, from Alexandria.

a b c (Å): 3.672 3.672 3.672
angles (deg): 90.00 90.00 90.00
Space group Pm-3m (No. 221)
Symmetry-distinct sites (fractional):
Co (0.000, 0.000, 0.000) x1
Ni (0.500, 0.500, 0.500) x1
C (0.000, 0.000, 0.500) x3

## Properties
The calculation puts the volume at 49.5 Å³/cell.


It is (P) that is the least stable of them.